No. 1
Crystalline Mn3NiPt6 at its relaxed geometry, computed with PBE.

Formation energy from the elements   -275 meV/atom
Total DFT energy (no corrections)   -7.23 eV/atom
Density of states at the Fermi level   11.1 states/eV/f.u.
Crystal system   monoclinic
Mass density   15.59 g/cm³
Magnetic moment   13.70 μB per formula unit

Cell lengths 7.3189, 4.5127, 9.5744 Å; angles 90.00, 110.12, 90.00 degrees
With the nearest neighbours (Å) after each atom.
Sites, in units of the cell vectors:
1 Mn 0.0891 0.2500 0.2318  8 Pt 2.63-2.78, 1 Ni 2.73, 3 Mn 2.86-2.89
2 Mn 0.2976 0.2500 0.0242  11 Pt 2.71-2.81, 1 Mn 2.89
3 Mn 0.3156 0.7500 0.3775  9 Pt 2.67-2.80, 1 Ni 2.79, 2 Mn 2.86
4 Mn 0.6844 0.2500 0.6225  9 Pt 2.67-2.80, 1 Ni 2.79, 2 Mn 2.86
5 Mn 0.7024 0.7500 0.9758  11 Pt 2.71-2.81, 1 Mn 2.89
6 Mn 0.9109 0.7500 0.7682  8 Pt 2.63-2.78, 1 Ni 2.73, 3 Mn 2.86-2.89
7 Ni 0.1008 0.7500 0.5680  8 Pt 2.61-2.78, 2 Mn 2.73-2.79, 2 Ni 2.76
8 Ni 0.8992 0.2500 0.4320  8 Pt 2.61-2.78, 2 Mn 2.73-2.79, 2 Ni 2.76
9 Pt 0.0820 0.2500 0.7190  3 Ni 2.61-2.71, 4 Mn 2.70-2.80, 5 Pt 2.72-2.85
10 Pt 0.1058 0.7500 0.0733  5 Pt 2.74-2.82, 7 Mn 2.75-2.79
11 Pt 0.2821 0.2500 0.5264  3 Ni 2.63-2.72, 4 Mn 2.69-2.77, 5 Pt 2.72-2.85
12 Pt 0.2937 0.7500 0.8604  4 Mn 2.63-2.81, 1 Ni 2.67, 7 Pt 2.76-2.82
13 Pt 0.4940 0.2500 0.3298  5 Mn 2.67-2.78, 6 Pt 2.75-2.85, 1 Ni 2.78
14 Pt 0.4960 0.2500 0.8321  4 Mn 2.71-2.80, 8 Pt 2.74-2.85
15 Pt 0.5040 0.7500 0.1679  4 Mn 2.71-2.80, 8 Pt 2.74-2.85
16 Pt 0.5060 0.7500 0.6702  5 Mn 2.67-2.78, 6 Pt 2.75-2.85, 1 Ni 2.78
17 Pt 0.7063 0.2500 0.1396  4 Mn 2.63-2.81, 1 Ni 2.67, 7 Pt 2.76-2.82
18 Pt 0.7179 0.7500 0.4736  3 Ni 2.63-2.72, 4 Mn 2.69-2.77, 5 Pt 2.72-2.85
19 Pt 0.8942 0.2500 0.9267  5 Pt 2.74-2.82, 7 Mn 2.75-2.79
20 Pt 0.9180 0.7500 0.2810  3 Ni 2.61-2.71, 4 Mn 2.70-2.80, 5 Pt 2.72-2.85



No. 2
Crystalline Mn3NiPt at its relaxed geometry, computed with PBE.

Formation energy from the elements   1328 meV/atom
Total DFT energy (no corrections)   -6.54 eV/atom
Density of states at the Fermi level   10.2 states/eV/f.u.
Crystal system   cubic
Mass density   9.73 g/cm³
Magnetic moment   1.16 μB per formula unit
Energy relative to the lowest polymorph listed for this composition   24.5 kJ per mole of atoms

Cell lengths 4.1496, 4.1496, 4.1496 Å; angles 90.00, 90.00, 90.00 degrees
With the nearest neighbours (Å) after each atom.
Sites, in units of the cell vectors:
1 Mn 0.0000 0.0000 0.5000  2 Ni 2.07
2 Mn 0.0000 0.5000 0.0000  2 Ni 2.07
3 Mn 0.5000 0.0000 0.0000  2 Ni 2.07
4 Ni 0.0000 0.0000 0.0000  6 Mn 2.07
5 Pt 0.5000 0.5000 0.5000  12 Mn 2.93



No. 3
Crystalline MnNi2Pt5 at its relaxed geometry, computed with PBE.

Formation energy from the elements   -189 meV/atom
Total DFT energy (no corrections)   -6.56 eV/atom
Density of states at the Fermi level   10.2 states/eV/f.u.
Crystal system   orthorhombic
Mass density   16.63 g/cm³
Magnetic moment   5.90 μB per formula unit
Energy relative to the lowest polymorph listed for this composition   0.0 kJ per mole of atoms

Cell lengths 5.4478, 10.9305, 3.8497 Å; angles 90.00, 90.00, 90.00 degrees
With the nearest neighbours (Å) after each atom.
Sites, in units of the cell vectors:
1 Mn 0.0000 0.0000 0.0000  8 Pt 2.66-2.72, 4 Ni 2.76
2 Mn 0.5000 0.5000 0.0000  8 Pt 2.66-2.72, 4 Ni 2.76
3 Ni 0.2402 0.3741 0.5000  10 Pt 2.67-2.78, 2 Mn 2.76
4 Ni 0.2598 0.8741 0.5000  10 Pt 2.67-2.78, 2 Mn 2.76
5 Ni 0.7402 0.1259 0.5000  10 Pt 2.67-2.78, 2 Mn 2.76
6 Ni 0.7598 0.6259 0.5000  10 Pt 2.67-2.78, 2 Mn 2.76
7 Pt 0.0000 0.5000 0.0000  4 Ni 2.70, 2 Mn 2.72, 6 Pt 2.73-2.80
8 Pt 0.0143 0.7565 0.0000  1 Mn 2.66, 4 Ni 2.67-2.77, 7 Pt 2.72-2.80
9 Pt 0.2377 0.1197 0.5000  2 Mn 2.66, 4 Ni 2.69-2.78, 6 Pt 2.72-2.79
10 Pt 0.2623 0.6197 0.5000  2 Mn 2.66, 4 Ni 2.69-2.78, 6 Pt 2.72-2.79
11 Pt 0.4857 0.2565 0.0000  1 Mn 2.66, 4 Ni 2.67-2.77, 7 Pt 2.72-2.80
12 Pt 0.5000 0.0000 0.0000  4 Ni 2.70, 2 Mn 2.72, 6 Pt 2.73-2.80
13 Pt 0.5143 0.7435 0.0000  1 Mn 2.66, 4 Ni 2.67-2.77, 7 Pt 2.72-2.80
14 Pt 0.7377 0.3803 0.5000  2 Mn 2.66, 4 Ni 2.69-2.78, 6 Pt 2.72-2.79
15 Pt 0.7623 0.8803 0.5000  2 Mn 2.66, 4 Ni 2.69-2.78, 6 Pt 2.72-2.79
16 Pt 0.9857 0.2435 0.0000  1 Mn 2.66, 4 Ni 2.67-2.77, 7 Pt 2.72-2.80



No. 4
Crystalline MnNi2Pt6 at its relaxed geometry, computed with PBE.

Formation energy from the elements   -61 meV/atom
Total DFT energy (no corrections)   -6.39 eV/atom
Density of states at the Fermi level   13.4 states/eV/f.u.
Crystal system   orthorhombic
Mass density   16.39 g/cm³
Magnetic moment   6.86 μB per formula unit
Energy relative to the lowest polymorph listed for this composition   10.9 kJ per mole of atoms

Cell lengths 5.9440, 5.9440, 5.9440 Å; angles 135.00, 104.78, 92.16 degrees
With the nearest neighbours (Å) after each atom.
Sites, in units of the cell vectors:
1 Mn 0.0000 0.0000 0.0000  8 Pt 2.64-2.69, 2 Ni 2.75
2 Ni 0.3340 0.3340 0.0000  8 Pt 2.59-2.66, 1 Ni 2.74, 1 Mn 2.75
3 Ni 0.6660 0.6660 0.0000  8 Pt 2.59-2.66, 1 Ni 2.74, 1 Mn 2.75
4 Pt 0.1406 0.8316 0.3091  3 Ni 2.63-2.66, 1 Mn 2.64, 7 Pt 2.73-2.79
5 Pt 0.1970 0.5000 0.6970  2 Ni 2.59, 2 Mn 2.69, 7 Pt 2.73-2.86
6 Pt 0.4775 0.1684 0.3091  3 Ni 2.63-2.66, 1 Mn 2.64, 7 Pt 2.73-2.79
7 Pt 0.5225 0.8316 0.6909  3 Ni 2.63-2.66, 1 Mn 2.64, 7 Pt 2.73-2.79
8 Pt 0.8030 0.5000 0.3030  2 Ni 2.59, 2 Mn 2.69, 7 Pt 2.73-2.86
9 Pt 0.8594 0.1684 0.6909  3 Ni 2.63-2.66, 1 Mn 2.64, 7 Pt 2.73-2.79



No. 5
Crystalline MnNiPt5 at its relaxed geometry, computed with PBE.

Formation energy from the elements   -112 meV/atom
Total DFT energy (no corrections)   -6.56 eV/atom
Density of states at the Fermi level   7.8 states/eV/f.u.
Crystal system   orthorhombic
Mass density   16.06 g/cm³
Magnetic moment   5.30 μB per formula unit
Energy relative to the lowest polymorph listed for this composition   0.0 kJ per mole of atoms

Cell lengths 4.6438, 4.6438, 5.4724 Å; angles 90.00, 90.00, 107.38 degrees
With the nearest neighbours (Å) after each atom.
Sites, in units of the cell vectors:
1 Mn 0.0000 0.0000 0.0000  10 Pt 2.73-2.75
2 Ni 0.5000 0.5000 0.5000  10 Pt 2.66-2.74
3 Pt 0.0000 0.5000 0.2611  6 Pt 2.62-2.86, 2 Ni 2.66, 2 Mn 2.73
4 Pt 0.0000 0.5000 0.7389  6 Pt 2.62-2.86, 2 Ni 2.66, 2 Mn 2.73
5 Pt 0.5000 0.0000 0.2611  6 Pt 2.62-2.86, 2 Ni 2.66, 2 Mn 2.73
6 Pt 0.5000 0.0000 0.7389  6 Pt 2.62-2.86, 2 Ni 2.66, 2 Mn 2.73
7 Pt 0.5000 0.5000 0.0000  8 Pt 2.73, 2 Ni 2.74, 2 Mn 2.75



No. 6
Crystalline MnNiPt at its relaxed geometry, computed with PBE.

Formation energy from the elements   135 meV/atom
Total DFT energy (no corrections)   -6.86 eV/atom
Density of states at the Fermi level   4.6 states/eV/f.u.
Crystal system   cubic
Mass density   10.81 g/cm³
Magnetic moment   5.00 μB per formula unit
Energy relative to the lowest polymorph listed for this composition   30.5 kJ per mole of atoms

Cell lengths 4.0625, 4.0625, 4.0625 Å; angles 60.00, 60.00, 60.00 degrees
With the nearest neighbours (Å) after each atom.
Sites, in units of the cell vectors:
1 Mn 0.0000 0.0000 0.0000  4 Ni 2.49
2 Ni 0.2500 0.2500 0.2500  4 Mn 2.49, 4 Pt 2.49
3 Pt 0.5000 0.5000 0.5000  4 Ni 2.49



> Look up the density of states at the Fermi level of the fifth one.

7.8 states/eV/f.u.



> What is the mass density in the first record?

15.59 g/cm³